1.
Density functional theory data (PBE-GGA) for crystalline LuH2ClO2 at its relaxed geometry.

```
12
Lattice="3.499 0.000 0.000 0.000 6.238 -0.056 0.000 1.621 6.393" Properties=species:S:1:pos:R:3 pbc="T T T"
H 2.624 2.878 1.927
H 2.624 6.696 4.832
H 0.875 4.981 4.410
H 0.875 1.163 1.505
Cl 0.875 2.347 3.712
Cl 2.624 5.511 2.625
O 0.875 0.811 0.591
O 0.875 4.720 5.354
O 2.624 3.139 0.983
O 2.624 7.048 5.746
Lu 2.624 3.176 5.737
Lu 0.875 4.683 0.601
```

Summary:
symmetry: P2_1/m (11)
crystal system: monoclinic
total DFT energy (no corrections): -71.31 eV for the cell shown
V: 139.8 Å³ per cell

2.
Density functional theory data (PBE-GGA) for crystalline MgHCl at its relaxed geometry.

```
3
Lattice="4.303 -1.893 -0.369 -2.170 4.171 -0.369 -0.149 -0.159 6.040" Properties=species:S:1:pos:R:3 pbc="T T T"
H 0.101 0.108 0.626
Mg 1.335 1.425 1.287
Cl 0.548 0.585 3.388
```

Summary:
symmetry: Fmm2 (42)
crystal system: orthorhombic
total DFT energy (no corrections): -8.81 eV for the cell shown
V: 82.9 Å³ per cell

3.
Density functional theory data (PBE-GGA) for crystalline MgH2Cl at its relaxed geometry.

```
8
Lattice="-2.556 1.171 -2.287 0.086 -3.186 -1.727 -6.625 -3.677 2.649" Properties=species:S:1:pos:R:3 pbc="T T T"
H -5.873 -4.310 0.050
H -2.561 -2.471 -1.274
H -2.604 -0.878 -0.411
H -7.151 -3.725 -1.094
Mg -3.887 -3.935 -0.542
Mg -1.235 -1.007 -2.007
Cl 0.000 0.000 0.000
Cl -5.208 -1.757 -0.823
```

Summary:
ΔE to the lowest computed polymorph: 0.000 eV/atom
symmetry: I4_1/amd (141)
crystal system: tetragonal
V: 99.9 Å³ per cell

4.
Density functional theory data (PBE-GGA) for crystalline MgHCl at its relaxed geometry.

```
3
Lattice="3.392 0.000 0.000 -1.696 2.938 0.000 0.000 0.000 5.171" Properties=species:S:1:pos:R:3 pbc="T T T"
Mg 1.696 0.979 1.977
H 0.000 1.958 2.742
Cl 0.000 0.000 0.452
```

Summary:
symmetry: P3m1 (156)
crystal system: trigonal
total DFT energy (no corrections): -9.47 eV for the cell shown
V: 51.5 Å³ per cell

5.
Density functional theory data (PBE-GGA) for crystalline MgHCl3 at its relaxed geometry.

```
5
Lattice="4.428 0.000 0.000 0.000 4.428 0.000 0.000 0.000 4.428" Properties=species:S:1:pos:R:3 pbc="T T T"
Cl 0.000 0.000 2.214
Cl 2.214 0.000 0.000
Cl 0.000 2.214 0.000
Mg 2.214 2.214 2.214
H 0.000 0.000 0.000
```

Summary:
ΔE to the lowest computed polymorph: 0.177 eV/atom
symmetry: Pm-3m (221)
crystal system: cubic
V: 86.8 Å³ per cell

6.
Density functional theory data (PBE-GGA) for crystalline MgH3Cl at its relaxed geometry.

```
5
Lattice="3.917 0.000 0.000 0.000 3.917 0.000 0.000 0.000 3.917" Properties=species:S:1:pos:R:3 pbc="T T T"
Mg 0.000 0.000 0.000
H 0.000 1.959 0.000
H 0.000 0.000 1.959
H 1.959 0.000 0.000
Cl 1.959 1.959 1.959
```

Summary:
ΔE to the lowest computed polymorph: 0.000 eV/atom
symmetry: Pm-3m (221)
crystal system: cubic
V: 60.1 Å³ per cell

7.
Density functional theory data (PBE-GGA) for crystalline Mg2H6Cl at its relaxed geometry.

```
9
Lattice="5.483 1.948 1.706 2.945 6.915 1.706 0.000 0.000 3.412" Properties=species:S:1:pos:R:3 pbc="T T T"
H 5.404 4.729 3.017
H 5.404 4.729 3.807
H 3.025 4.133 3.017
H 3.025 4.133 3.807
H 2.327 1.876 3.412
H 6.101 6.987 3.412
Mg 6.879 7.505 5.118
Mg 1.550 1.357 1.706
Cl 0.000 0.000 3.412
```

Summary:
symmetry: C2/m (12)
crystal system: monoclinic
total DFT energy (no corrections): -26.51 eV for the cell shown
V: 109.8 Å³ per cell

8.
Density functional theory data (PBE-GGA) for crystalline MgH2Cl2 at its relaxed geometry.

```
5
Lattice="-2.808 2.257 0.615 -0.063 -3.398 1.327 4.028 3.096 7.025" Properties=species:S:1:pos:R:3 pbc="T T T"
Cl -1.284 0.814 2.010
Cl 2.441 1.141 6.956
H 1.966 1.395 3.852
H -0.808 0.560 5.114
Mg 0.000 0.000 0.000
```

Summary:
symmetry: C2/m (12)
crystal system: monoclinic
total DFT energy (no corrections): -17.64 eV for the cell shown
V: 99.9 Å³ per cell

9.
Density functional theory data (PBE-GGA) for crystalline MgHCl at its relaxed geometry.

```
3
Lattice="3.147 0.000 0.000 0.000 3.147 0.000 -1.574 -1.574 4.497" Properties=species:S:1:pos:R:3 pbc="T T T"
Mg 1.574 1.574 2.022
Cl 0.000 0.000 0.002
H 0.000 0.000 2.473
```

Summary:
symmetry: I4mm (107)
crystal system: tetragonal
total DFT energy (no corrections): -8.26 eV for the cell shown
V: 44.5 Å³ per cell

10.
Density functional theory data (PBE-GGA) for crystalline MgH3Cl at its relaxed geometry.

```
5
Lattice="-0.584 0.376 3.824 -3.553 -1.526 -0.392 1.463 -3.554 0.573" Properties=species:S:1:pos:R:3 pbc="T T T"
Mg -1.336 -2.352 2.002
Cl 0.000 0.000 0.000
H -0.292 0.188 1.912
H -1.776 -0.763 -0.196
H 0.732 -1.777 0.286
```

Summary:
ΔE to the lowest computed polymorph: 0.385 eV/atom
symmetry: Pm-3m (221)
crystal system: cubic
V: 58.7 Å³ per cell

11.
Density functional theory data (PBE-GGA) for crystalline MgHCl at its relaxed geometry.

```
6
Lattice="-3.102 -0.447 1.263 -1.979 -1.591 -5.468 0.870 -5.491 0.198" Properties=species:S:1:pos:R:3 pbc="T T T"
Mg -1.935 -5.137 0.867
Mg -0.819 -2.168 0.136
H -0.802 -4.017 -0.478
H -2.812 -1.911 -4.717
Cl -3.628 -4.707 -3.192
Cl -3.088 -1.666 -0.743
```

Summary:
symmetry: P-1 (2)
crystal system: triclinic
total DFT energy (no corrections): -19.33 eV for the cell shown
V: 111.5 Å³ per cell

12.
Density functional theory data (PBE-GGA) for crystalline MgHCl at its relaxed geometry.

```
6
Lattice="-0.878 -0.479 2.994 5.786 -0.123 1.677 -2.574 5.484 -1.541" Properties=species:S:1:pos:R:3 pbc="T T T"
Cl -0.049 2.100 0.322
Cl 2.383 2.781 2.808
H 1.378 -0.278 2.023
H 3.530 -0.324 2.647
Mg 2.862 1.273 1.043
Mg -0.528 3.609 2.087
```

Summary:
symmetry: Immm (71)
crystal system: orthorhombic
total DFT energy (no corrections): -17.10 eV for the cell shown
V: 99.7 Å³ per cell